CoSb3O: optimized geometry, GGA+U. Values from VASP.

Structure (Quantum ESPRESSO input):
```
&SYSTEM
  ibrav = 0, nat = 5, ntyp = 3
/
ATOMIC_SPECIES
Sb 121.76 Sb.upf
O 16.00 O.upf
Co 58.93 Co.upf
CELL_PARAMETERS angstrom
4.864 0.000 0.000
0.000 4.864 0.000
0.000 0.000 4.864
ATOMIC_POSITIONS crystal
Sb 0.000 0.000 0.500
Sb 0.000 0.500 0.000
Sb 0.500 0.000 0.000
O 0.500 0.500 0.500
Co 0.000 0.000 0.000
```

Summary:
E above lowest polymorph: 172 meV per atom
N(E_F): 3.49 states/eV/f.u.
symmetry: Pm-3m, No. 221
magnetization: 2.34 μB/cell
VASP energy: -18.755 eV/cell